(1)
The following is a PBE-GGA calculation of an optimized crystal structure of Dy3Th5H12, from Alexandria.

```
Dy3Th5H12
1.0
11.5708 0.0000 0.0000
-3.8569 10.9090 0.0000
-3.8569 -5.4545 9.4475
H Th Dy
48 20 12
Direct
0.9234 0.5832 0.1531
0.5832 0.6598 0.4301
0.3469 0.7703 0.4301
0.5766 0.3469 0.9168
0.0766 0.6598 0.7297
0.5832 0.9234 0.6531
0.8402 0.2703 0.4234
0.9301 0.8469 0.7703
0.1598 0.4301 0.0832
0.4168 0.0766 0.3469
0.2703 0.4301 0.8469
0.5699 0.8402 0.4168
0.6598 0.0766 0.2297
0.7703 0.4234 0.3402
0.3402 0.4168 0.0699
0.5699 0.7297 0.6531
0.0699 0.1531 0.2297
0.8469 0.9168 0.0766
0.4168 0.3402 0.5699
0.6531 0.2297 0.5699
0.9168 0.0699 0.8402
0.6598 0.5832 0.9301
0.6531 0.4234 0.5832
0.9234 0.3402 0.2703
0.9301 0.0832 0.6598
0.4234 0.6531 0.0832
0.3402 0.9234 0.7703
0.8402 0.5699 0.9168
0.1531 0.0832 0.9234
0.2297 0.6531 0.0699
0.4301 0.2703 0.3469
0.2703 0.8402 0.9234
0.1598 0.7297 0.5766
0.1531 0.0699 0.7297
0.0766 0.4168 0.8469
0.4234 0.7703 0.8402
0.2297 0.5766 0.6598
0.8469 0.9301 0.2703
0.5766 0.2297 0.1598
0.7703 0.3469 0.9301
0.9168 0.8469 0.5766
0.0832 0.1531 0.4234
0.0832 0.9301 0.1598
0.0699 0.9168 0.3402
0.4301 0.1598 0.5832
0.3469 0.5766 0.4168
0.7297 0.1598 0.0766
0.7297 0.5699 0.1531
0.3750 0.1250 0.7500
0.0000 0.0000 0.5000
0.0000 0.5000 0.5000
0.5000 0.5000 0.0000
0.5000 0.0000 0.5000
0.1250 0.3750 0.2500
0.1250 0.7500 0.3750
0.0000 0.5000 0.0000
0.2500 0.3750 0.6250
0.0000 0.0000 0.0000
0.7500 0.1250 0.8750
0.8750 0.6250 0.7500
0.6250 0.7500 0.8750
0.6250 0.8750 0.2500
0.7500 0.6250 0.3750
0.5000 0.0000 0.0000
0.8750 0.2500 0.6250
0.3750 0.2500 0.1250
0.5000 0.5000 0.5000
0.2500 0.8750 0.1250
0.6250 0.2500 0.3750
0.3750 0.7500 0.6250
0.6250 0.3750 0.7500
0.1250 0.8750 0.7500
0.1250 0.2500 0.8750
0.7500 0.3750 0.1250
0.2500 0.1250 0.3750
0.2500 0.6250 0.8750
0.8750 0.1250 0.2500
0.3750 0.6250 0.2500
0.8750 0.7500 0.1250
0.7500 0.8750 0.6250
```

Results
SG: No. 230

(2)
The following is a PBE-GGA calculation of an optimized crystal structure of Ho2Er9Tm, from Alexandria.

```
Ho2Er9Tm
1.0
-0.1982 4.0228 2.8787
-3.7722 1.7408 -2.6925
-9.5965 -6.9010 8.9828
Er Ho Tm
9 2 1
Direct
0.5000 0.5000 0.3331
0.5000 0.0000 0.8338
0.0000 0.5000 0.8338
0.0000 0.5000 0.1662
0.0000 0.5000 0.5000
0.5000 0.0000 0.5000
0.5000 0.0000 0.1662
0.5000 0.5000 0.0000
0.5000 0.5000 0.6669
0.0000 0.0000 0.6668
0.0000 0.0000 0.3332
0.0000 0.0000 0.0000
```

Results
SG: No. 123
Relative energy among the computed polymorphs, meV/atom: 0
E_form, eV/atom: 0.024

(3)
The following is a PBE-GGA calculation of an optimized crystal structure of CdFeMo2, from Alexandria.

```
CdFeMo2
1.0
-2.4456 3.9853 2.2334
-1.3573 -1.1840 -4.8587
-1.8563 -1.6559 0.9221
Mo Fe Cd
2 1 1
Direct
0.5000 0.5000 0.0000
0.0000 0.0000 0.0000
0.0000 0.5000 0.5000
0.5000 0.0000 0.5000
```

Results
SG: No. 65
E_form, eV/atom: 0.445

(4)
The following is a PBE-GGA calculation of an optimized crystal structure of InCuI6, from Alexandria.

```
InCuI6
1.0
-6.0993 2.3034 5.9105
-2.4244 -1.1927 9.6860
1.4411 5.6988 5.0072
I In Cu
6 1 1
Direct
0.7064 0.1014 0.8584
0.2936 0.8986 0.1416
0.6205 0.2368 0.2745
0.0896 0.5636 0.6524
0.9104 0.4364 0.3476
0.3795 0.7632 0.7255
0.5000 0.5000 0.5000
0.0000 0.0000 0.0000
```

Results
Energy relative to the elements, uncorrected, meV/atom: -173
SG: No. 2

(5)
The following is a PBE-GGA calculation of an optimized crystal structure of Pr2NiSn6, from Alexandria.

```
Pr2NiSn6
1.0
-1.7951 -3.8650 0.2558
0.5787 0.2437 7.7421
-7.1209 3.0778 -3.4656
Sn Ni Pr
6 1 2
Direct
0.5000 0.7844 0.0000
0.0000 0.6622 0.6971
0.5000 0.2156 0.0000
0.0000 0.3378 0.3029
0.0000 0.9651 0.3028
0.0000 0.0349 0.6972
0.0000 0.0000 0.0000
0.5000 0.3179 0.6359
0.5000 0.6821 0.3641
```

Results
SG: No. 65
Relative energy among the computed polymorphs, meV/atom: 156
E_form, eV/atom: -0.355

no.,total energy (eV per atom)
1,-4.939
2,-4.534
3,-7.315
4,-2.190
5,-4.728